BaLaRe2 | Alexandria | GGA-PBE | optimized geometry; D(E_F) = 3.2 states/eV/cell; relative energy among the computed polymorphs = 170.6 meV/atom; calculated volume = 103.4 Å³ per cell; formation energy = 9.759 kcal/mol of atoms
1.0
3.241 0.000 0.000
0.000 3.241 0.000
0.000 0.000 9.851
Ba La Re
1 1 2
Cartesian
0.000 0.000 0.000 Ba
1.620 1.620 3.818 La
0.000 0.000 6.067 Re
1.620 1.620 7.299 Re